## CaNpWO6 (PBE+U)

Data for a relaxed structure of CaNpWO6.

Cell: 5.5762 5.5762 9.7974 Å, 90.00 90.00 120.00°
Space group P-31c (No. 163)
Symmetry-distinct sites (fractional):
Ca 0.0000 0.0000 0.0000 x2
Np 0.3333 0.6667 0.2500 x2
W 0.3333 0.6667 0.7500 x2
O 0.0190 0.3707 0.6407 x12

Summary:
Fermi-level density of states ... 15.64 states/eV/cell
Crystal system ... trigonal
Total moment ... 3.000 μB/f.u.
DFT total energy ... -8.3913 eV per atom